Compound: CaZn4Ni
Source: the Alexandria database
Functional: PBE
Structure: relaxed

a = 4.5272 Å, b = 4.5272 Å, c = 6.9086 Å
α = 90.00°, β = 90.08°, γ = 90.00°
Space group P2/m (No. 10)
One atom of each set of equivalent atoms:
Ca: 0.0000 0.0000 0.0000 (multiplicity 1)
Zn: 0.0000 0.5000 0.5000 (multiplicity 1)
Zn: 0.5000 0.0000 0.5000 (multiplicity 1)
Zn: 0.5003 0.5000 0.1736 (multiplicity 2)
Ni: 0.5000 0.5000 0.5000 (multiplicity 1)

Results
The volume comes out at 23.60 Å³ per atom. As for the formation enthalpy at 0 K: 77 meV/atom. The crystal system is monoclinic. The calculation puts the energy above the most stable polymorph in this dataset at 303.7 meV per atom.

---

Compound: Ca3ZnNi3
Source: the Alexandria database
Functional: PBE
Structure: relaxed

a = 4.1990 Å, b = 10.3467 Å, c = 12.9854 Å
α = 90.00°, β = 90.00°, γ = 90.00°
Space group Cmcm (No. 63)
One atom of each set of equivalent atoms:
Ca: 0.0000 0.0068 0.2500 (multiplicity 4)
Ca: 0.0000 0.2799 0.6054 (multiplicity 8)
Zn: 0.0000 0.0000 0.0000 (multiplicity 4)
Ni: 0.0000 0.3193 0.2500 (multiplicity 4)
Ni: 0.0000 0.4319 0.0866 (multiplicity 8)

Results
The volume comes out at 20.15 Å³ per atom. As for the formation enthalpy at 0 K: -228 meV/atom. The crystal system is orthorhombic.

---

Q: Among the records above, which one has the lowest formation enthalpy at 0 K?
A: Ca3ZnNi3